InPb2Br after structural relaxation. Source: the Alexandria database, functional PBE.

Summary:
Relative energy among the computed polymorphs in meV/atom: 54.2
Formation energy (no corrections) in meV per atom: -148
Electronic total energy in eV per atom: -3.105
SG: R3m
Crystal system: trigonal
Size of the total moment in μB/atom: 0.0000
Mass density in kg/m³: 7890

Structure (POSCAR):
```
InPb2Br
1.0
1.846 1.066 10.855
-1.846 1.066 10.855
0.000 -2.132 10.855
In Pb Br
1 2 1
direct
0.000 0.000 0.000
0.239 0.239 0.239
0.488 0.488 0.488
0.732 0.732 0.732
```